1.
A plane-wave DFT calculation with PBE was carried out for a geometry-optimized La2Ce3Os2 structure.

The space group is C2/m (No. 12) and the conventional cell measures 11.9705, 3.9133 and 8.6940 Å, with angles of 90.00, 113.51 and 90.00 degrees. Symmetry generates all atoms from La at (0.1590, 0.0000, 0.3040), Ce at (0.0000, 0.5000, 0.5000), Ce at (0.1219, 0.5000, 0.9424) and Os at (0.1408, 0.0000, 0.7343).


2.
A plane-wave DFT calculation with PBE was carried out for a geometry-optimized La2CeOs2 structure.

The calculation puts the energy above the most stable polymorph in this dataset at 0.000 eV/atom.

The space group is Immm (No. 71) and the conventional cell measures 4.3550, 5.8913 and 9.7475 Å, with angles of 90.00, 90.00 and 90.00 degrees. Symmetry generates all atoms from La at (0.0000, 0.0000, 0.1943), Ce at (0.0000, 0.5000, 0.0000) and Os at (0.0000, 0.2649, 0.5000).


3.
A plane-wave DFT calculation with PBE was carried out for a geometry-optimized La2CeOs structure.

The calculation puts the energy above the most stable polymorph in this dataset at 0.483 eV/atom.

The space group is R-3m (No. 166, hexagonal axes) and the conventional cell measures 3.9642, 3.9642 and 31.9288 Å, with angles of 90.00, 90.00 and 120.00 degrees. Symmetry generates all atoms from La at (0.0000, 0.0000, 0.1151), Ce at (0.0000, 0.0000, 0.0000) and Os at (0.0000, 0.0000, 0.5000).


4.
A plane-wave DFT calculation with PBE was carried out for a geometry-optimized LaCe3Os3 structure.

The space group is R-3 (No. 148, hexagonal axes) and the conventional cell measures 8.8922, 8.8922 and 15.6735 Å, with angles of 90.00, 90.00 and 120.00 degrees. Symmetry generates all atoms from La at (0.0000, 0.0000, 0.1672), Ce at (0.0193, 0.2826, 0.6047) and Os at (0.0144, 0.3745, 0.4334).


5.
A plane-wave DFT calculation with PBE was carried out for a geometry-optimized LaCe6Os3 structure.

The space group is Cmc2_1 (No. 36) and the conventional cell measures 11.1347, 13.0194 and 7.2588 Å, with angles of 90.00, 90.00 and 90.00 degrees. Symmetry generates all atoms from La at (0.0000, 0.1800, 0.0000), Ce at (0.0000, 0.2759, 0.4971), Ce at (0.0000, 0.4735, 0.8307), Ce at (0.1663, 0.0477, 0.3524), Ce at (0.2341, 0.3174, 0.1993), Os at (0.0000, 0.0855, 0.6495) and Os at (0.1955, 0.3995, 0.5447).


6.
A plane-wave DFT calculation with PBE was carried out for a geometry-optimized La3CeOs structure.

The space group is Pm-3m (No. 221) and the conventional cell measures 5.6923, 5.6923 and 5.6923 Å, with angles of 90.00, 90.00 and 90.00 degrees. Symmetry generates all atoms from La at (0.0000, 0.0000, 0.5000), Ce at (0.5000, 0.5000, 0.5000) and Os at (0.0000, 0.0000, 0.0000).


7.
A plane-wave DFT calculation with PBE was carried out for a geometry-optimized LaCe2Os structure.

The calculation puts the energy above the most stable polymorph in this dataset at 0.128 eV/atom.

The space group is R3m (No. 160, hexagonal axes) and the conventional cell measures 4.0244, 4.0244 and 26.1137 Å, with angles of 90.00, 90.00 and 120.00 degrees. Symmetry generates all atoms from La at (0.0000, 0.0000, 0.0000), Ce at (0.0000, 0.0000, 0.5547), Ce at (0.0000, 0.0000, 0.7729) and Os at (0.0000, 0.0000, 0.1619).


8.
A plane-wave DFT calculation with PBE was carried out for a geometry-optimized La2CeOs structure.

The calculation puts the energy above the most stable polymorph in this dataset at 0.000 eV/atom.

The space group is Pnma (No. 62) and the conventional cell measures 7.2929, 10.0400 and 6.5821 Å, with angles of 90.00, 90.00 and 90.00 degrees. Symmetry generates all atoms from La at (0.1674, 0.0663, 0.1752), Ce at (0.0546, 0.2500, 0.6656) and Os at (0.1322, 0.7500, 0.9840).


Calculated values (eV/atom) of electronic total energy for the records, taken in order: -7.318; -7.810; -6.429; -8.148; -7.539; -6.266; -7.012; -6.911.
Calculated values (states/eV/f.u.) of Fermi-level density of states for the records, taken in order: 11.43; 4.86; 9.21; 6.78; 24.76; 12.21; 8.23; 7.44.